[1]
## B5C7 (PBE)

Data for an optimized crystal structure of B5C7.

Calculated values
ΔH_f (0 K) (eV per atom): 0.35
Size of the total moment (μB per cell): 0.00

a b c (Å): 6.9089 7.2689 7.2689
angles (deg): 159.24 142.34 43.67
With the nearest neighbours (Å) after each atom.
Fractional positions:
B: 0.9770 0.3427 0.6344  1 C 1.55
B: 0.5366 0.2893 0.2473  2 C 1.57
B: 0.5027 0.1506 0.3521  3 C 1.55-1.61
B: 0.0116 0.9915 0.0201  3 C 1.57-1.64
B: 0.1276 0.7838 0.3438  2 C 1.59-1.62
C: 0.1598 0.1471 0.0127  2 C 1.55, 1 B 1.55
C: 0.6276 0.9607 0.6669  3 C 1.52-1.59, 1 B 1.64
C: 0.5090 0.8452 0.6638  1 C 1.52, 3 B 1.57-1.62
C: 0.0047 0.6631 0.3416  3 C 1.53-1.55, 1 B 1.59
C: 0.6422 0.6168 0.0254  2 C 1.53-1.55, 2 B 1.61
C: 0.5094 0.4985 0.0110  4 C 1.55-1.59
C: 0.1417 0.4609 0.6808  3 B 1.55-1.57, 1 C 1.55

---

[2]
## Dy4AgRh2 (PBE)

Data for an optimized crystal structure of Dy4AgRh2.

Calculated values
ΔH_f (0 K) (eV per atom): -0.56
Size of the total moment (μB per cell): 0.00

a b c (Å): 4.9118 4.9118 6.9034
angles (deg): 90.00 90.00 90.00
With the nearest neighbours (Å) after each atom.
Fractional positions:
Dy: 0.5000 0.0000 0.2547  4 Rh 2.98-3.02, 2 Ag 3.02
Dy: 0.0000 0.5000 0.7453  4 Rh 2.98-3.02, 2 Ag 3.02
Dy: 0.5000 0.0000 0.7453  4 Rh 2.98-3.02, 2 Ag 3.02
Dy: 0.0000 0.5000 0.2547  4 Rh 2.98-3.02, 2 Ag 3.02
Ag: 0.5000 0.5000 0.0000  8 Dy 3.02
Rh: 0.0000 0.0000 0.0000  8 Dy 3.02
Rh: 0.5000 0.5000 0.5000  8 Dy 2.98

---

[3]
## CsSeBr3 (PBE)

Data for an optimized crystal structure of CsSeBr3.

Calculated values
Size of the total moment (μB per cell): 0.00
Formation energy (no corrections) (kJ per mole of atoms): -74.42

a b c (Å): 5.0595 4.7629 9.9810
angles (deg): 84.65 59.57 89.90
With the nearest neighbours (Å) after each atom.
Fractional positions:
Cs: 0.2392 0.1496 0.6223  8 Br 3.80-3.92
Br: 0.9302 0.6730 0.4304  1 Se 2.63
Br: 0.7368 0.4754 0.1417  1 Se 2.48
Br: 0.5353 0.6212 0.8251  1 Se 2.62
Se: 0.2185 0.6329 0.1282  3 Br 2.48-2.63